1.
Cs2NpRh2S4 after structural relaxation, computed with PBE.

```
Cs2NpRh2S4
1.0
7.373 -2.004 0.000
7.373 2.004 0.000
-2.462 0.000 7.717
Cs Np Rh S
2 1 2 4
Direct
0.138 0.138 0.064 Cs
0.862 0.862 0.936 Cs
0.000 0.000 0.500 Np
0.317 0.317 0.508 Rh
0.683 0.683 0.492 Rh
0.190 0.190 0.645 S
0.479 0.479 0.710 S
0.521 0.521 0.290 S
0.810 0.810 0.355 S
```

**ΔE_f (raw)**: -8.4 eV per formula unit
**Symmetry**: C2/m (12)

2.
CsNp2RhS4 after structural relaxation, computed with PBE.

```
CsNp2RhS4
1.0
1.975 -7.066 0.000
1.975 7.066 0.000
0.000 0.000 13.797
Cs Np Rh S
2 4 2 8
Direct
0.103 0.897 0.750 Cs
0.897 0.103 0.250 Cs
0.366 0.634 0.561 Np
0.366 0.634 0.939 Np
0.634 0.366 0.061 Np
0.634 0.366 0.439 Np
0.170 0.830 0.250 Rh
0.830 0.170 0.750 Rh
0.000 0.000 0.000 S
0.000 0.000 0.500 S
0.258 0.742 0.102 S
0.258 0.742 0.398 S
0.417 0.583 0.750 S
0.583 0.417 0.250 S
0.742 0.258 0.602 S
0.742 0.258 0.898 S
```

**ΔE_f (raw)**: -9.5 eV per formula unit
**Symmetry**: Cmcm (63)

The lowest ΔE_f (raw) belongs to which entry? CsNp2RhS4

Among the records above, which one has the highest ΔE_f (raw)? Cs2NpRh2S4